Below is crystalline AlSbIr2 at its relaxed geometry, with properties calculated at the PBE-GGA level.

Summary:
energy relative to the lowest polymorph listed for this composition	85.8	meV/atom
ΔE_f (raw)	-0.195	eV/atom

Unit cell a=4.7325 b=4.7325 c=4.7325 alpha=129.46 beta=125.50 gamma=77.51
Closest atoms and distances in Å follow each position.
Element x y z (fractional)
Sb: 0.7500 0.2500 0.5000  8 Ir 2.73-2.87, 4 Al 2.96
Ir: 0.0253 0.0253 0.0000  2 Al 2.61, 4 Sb 2.73-2.87
Ir: 0.4747 0.4747 0.0000  2 Al 2.61, 4 Sb 2.73-2.87
Al: 0.2500 0.7500 0.5000  4 Ir 2.61